AcPuMgO6 | PBE | optimized geometry

Geometry as extended XYZ:
```
9
Lattice="5.4417 0.0000 0.0000 -2.7209 4.7127 0.0000 0.0000 0.0000 5.3883" Properties=species:S:1:pos:R:3 pbc="T T T"
Ac 0.0000 0.0000 0.0000
Pu 0.0000 3.1418 2.6941
Mg 2.7209 1.5709 2.6941
O -0.9352 1.7536 3.8195
O -1.6698 3.0259 1.5688
O 0.9352 1.7536 1.5688
O -0.7346 4.6458 3.8195
O 1.6698 3.0259 3.8195
O 0.7346 4.6458 1.5688
```

Output
Calculated total energy (eV/cell): -74.773
Formation energy from raw total energies (eV per formula unit): -24.989
Space-group type: P312, No. 149
Crystal system: trigonal